[1]
AlGeClO2 GGA-PBE relaxed; raw total energy = -25.984 eV/cell; ρ = 4.2 g cm⁻³
1.0
3.7728 0.0000 0.0000
0.0000 4.6848 0.0000
0.0000 0.0000 3.7728
Ge Al O Cl
1 1 2 1
direct
0.5000 0.5000 0.5000
0.0000 0.0000 0.0000
0.0000 0.0000 0.5000
0.5000 0.0000 0.0000
0.0000 0.5000 0.0000

[2]
AlGePCl2 GGA-PBE relaxed; ρ = 3.2 g cm⁻³; E above lowest polymorph = 0 meV/atom
1.0
4.5908 0.0000 0.0000
0.0000 4.5908 0.0000
0.0000 0.0000 5.0004
P Ge Al Cl
1 1 1 2
direct
0.0000 0.0000 0.5000
0.5000 0.5000 0.5000
0.0000 0.0000 0.0000
0.0000 0.5000 0.0000
0.5000 0.0000 0.0000

[3]
PmAlGeCl GGA-PBE relaxed; raw total energy = -38.099 eV/cell; ρ = 4.5 g cm⁻³
1.0
-0.9985 -2.8150 -3.0210
-2.1319 -3.5332 1.0098
-12.3989 4.1418 -2.7485
Pm Al Ge Cl
2 2 2 2
direct
0.0850 0.0850 0.7450
0.9150 0.9150 0.2550
0.6911 0.6911 0.9266
0.3089 0.3089 0.0734
0.6261 0.6261 0.1216
0.3739 0.3739 0.8784
0.7916 0.7916 0.6252
0.2084 0.2084 0.3748

[4]
Al2GePtCl GGA-PBE relaxed; raw total energy = -21.618 eV/cell; ρ = 5.2 g cm⁻³
1.0
4.8408 0.0000 0.0000
0.0000 4.8837 0.0000
0.0000 0.0000 4.8408
Ge Al Pt Cl
1 2 1 1
direct
0.0000 0.5000 0.0000
0.0000 0.0000 0.5000
0.5000 0.0000 0.0000
0.0000 0.0000 0.0000
0.5000 0.5000 0.5000

[5]
RbAl2GeCl8 GGA-PBE relaxed; raw total energy = -43.658 eV/cell; ρ = 2.2 g cm⁻³
1.0
-3.9841 -4.7904 1.9608
-1.4614 -4.9010 -4.0633
6.2392 -8.5088 2.7689
Rb Al Ge Cl
1 2 1 8
direct
0.5000 0.5000 0.5000
0.2461 0.2461 0.2617
0.7539 0.7539 0.7383
0.0000 0.0000 0.0000
0.1758 0.1758 0.4727
0.5771 0.2795 0.1959
0.8242 0.8242 0.5273
0.9475 0.5771 0.1959
0.0525 0.4229 0.8041
0.2795 0.9475 0.1959
0.7205 0.0525 0.8041
0.4229 0.7205 0.8041

[6]
AlGeSCl2 GGA-PBE relaxed; ρ = 3.2 g cm⁻³; E above lowest polymorph = 0 meV/atom
1.0
4.6845 0.0000 0.0000
0.0000 4.6845 0.0000
0.0000 0.0000 4.7973
Ge Al S Cl
1 1 1 2
direct
0.5000 0.5000 0.5000
0.0000 0.0000 0.0000
0.0000 0.0000 0.5000
0.0000 0.5000 0.0000
0.5000 0.0000 0.0000

[7]
AlGeS2Cl GGA-PBE relaxed; ρ = 3.3 g cm⁻³; E above lowest polymorph = 0 meV/atom
1.0
-2.8860 -1.6256 3.3686
2.7369 -3.8179 0.5024
2.4393 2.1608 3.1325
Ge Al S Cl
1 1 2 1
direct
0.5000 0.5000 0.5000
0.0000 0.0000 0.0000
0.0000 0.5000 0.0000
0.5000 0.0000 0.0000
0.0000 0.0000 0.5000

[8]
AlGeSeCl2 GGA-PBE relaxed; raw total energy = -15.437 eV/cell; ρ = 3.3 g cm⁻³
1.0
4.8354 0.0000 0.0000
0.0000 5.3523 0.0000
0.0000 0.0000 4.8354
Ge Al Se Cl
1 1 1 2
direct
0.0000 0.0000 0.0000
0.0000 0.5000 0.0000
0.5000 0.5000 0.5000
0.0000 0.0000 0.5000
0.5000 0.0000 0.0000

[9]
AlSi2GeCl GGA-PBE relaxed; raw total energy = -15.701 eV/cell; ρ = 2.8 g cm⁻³
1.0
-0.2182 -4.4261 1.7462
4.2697 -1.0890 -2.2267
2.3814 1.4118 3.8759
Ge Al Si Cl
1 1 2 1
direct
0.0000 0.5000 0.0000
0.5000 0.5000 0.5000
0.0000 0.0000 0.5000
0.5000 0.0000 0.0000
0.0000 0.0000 0.0000

[10]
AlTcGeCl2 GGA-PBE relaxed; raw total energy = -19.113 eV/cell; ρ = 3.4 g cm⁻³
1.0
5.0177 0.0000 0.0000
0.0000 5.2531 0.0000
0.0000 0.0000 5.0177
Ge Al Tc Cl
1 1 1 2
direct
0.0000 0.0000 0.0000
0.5000 0.5000 0.5000
0.0000 0.5000 0.0000
0.0000 0.0000 0.5000
0.5000 0.0000 0.0000

[11]
AlTlGeCl6 GGA-PBE relaxed; raw total energy = -32.248 eV/cell; ρ = 3.2 g cm⁻³
1.0
-1.5626 -1.5527 -6.2818
-6.1363 -2.1153 -1.4781
-2.0121 6.6330 -1.1390
Al Tl Ge Cl
1 1 1 6
direct
0.3333 0.3333 0.5000
0.0000 0.0000 0.0000
0.6666 0.6667 0.5000
0.0382 0.3508 0.3038
0.3508 0.0382 0.6961
0.6110 0.3508 0.6961
0.0381 0.6110 0.6961
0.3508 0.6110 0.3038
0.6110 0.0382 0.3038

[12]
AlH2Cl2 GGA-PBE relaxed; raw total energy = -32.681 eV/cell; ρ = 1.7 g cm⁻³
1.0
-6.4763 0.4855 1.7622
-4.0503 -3.8452 -0.9773
-1.6541 -2.6214 6.4891
Al H Cl
2 4 4
direct
0.1519 0.6962 0.0000
0.8481 0.3038 0.0000
0.8560 0.0000 0.1564
0.8775 0.0000 0.9325
0.1225 0.0000 0.0675
0.1440 0.0000 0.8436
0.5400 0.4244 0.7710
0.4600 0.5756 0.2290
0.9643 0.5756 0.7710
0.0357 0.4244 0.2290